First-principles (PBE) data for Si2PBr after structural relaxation, as listed in Alexandria via LeMat-Bulk.

a b c (Å): 6.5050 3.7286 6.9605
angles (deg): 90.00 108.14 90.00
With the nearest neighbours (Å) after each atom.
Space group C2/m (No. 12)
One atom of each set of equivalent atoms:
Si (0.2320, 0.0000, 0.1922)  3 P 2.51
P (0.0000, 0.5000, 0.0000)  6 Si 2.51
Br (0.0000, 0.0000, 0.5000)  6 Si 2.96-2.98

**E_form (uncorrected)**: 197 meV/atom
**Magnetization**: 0.00 μB per formula unit
**Crystal system**: monoclinic
**D(E_F)**: 0.114 states/eV/atom
**Energy above the lowest structure with this stoichiometry**: 0.1293 eV/atom

---

First-principles (PBE) data for TbAl5Pd7 after structural relaxation, as listed in Alexandria via LeMat-Bulk.

a b c (Å): 5.3253 8.9827 8.7364
angles (deg): 90.00 90.00 90.00
With the nearest neighbours (Å) after each atom.
Space group Imm2 (No. 44)
One atom of each set of equivalent atoms:
Tb (0.0000, 0.0000, 0.0000)  8 Pd 2.93-3.23
Al (0.0000, 0.5000, 0.2659)  6 Pd 2.62-2.80, 4 Al 2.71
Al (0.2474, 0.2603, 0.7426)  7 Pd 2.53-2.77, 3 Al 2.64-2.71
Pd (0.0000, 0.0000, 0.3410)  4 Al 2.68, 5 Pd 2.83-2.94, 1 Tb 2.98
Pd (0.0000, 0.0000, 0.6650)  6 Al 2.77-2.80, 1 Pd 2.83, 1 Tb 2.93
Pd (0.0000, 0.2971, 0.4817)  5 Al 2.54-2.65, 1 Pd 2.79
Pd (0.0000, 0.3401, 0.0074)  5 Al 2.62-2.76, 2 Pd 2.87
Pd (0.0000, 0.5000, 0.7231)  4 Al 2.53, 2 Pd 2.79

**ΔE_f**: -0.8041 eV/atom
**Magnetization**: 0.00 μB per formula unit
**Crystal system**: orthorhombic
**D(E_F)**: 0.405 states/eV/atom

---

First-principles (PBE) data for CaTmGePd after structural relaxation, as listed in Alexandria via LeMat-Bulk.

a b c (Å): 7.0416 7.0416 7.0416
angles (deg): 90.00 90.00 90.00
With the nearest neighbours (Å) after each atom.
Space group F-43m (No. 216)
One atom of each set of equivalent atoms:
Ca (0.0000, 0.0000, 0.0000)  4 Pd 3.05, 4 Ge 3.05
Tm (0.0000, 0.0000, 0.5000)  4 Ge 3.05, 4 Pd 3.05
Ge (0.2500, 0.2500, 0.2500)  4 Ca 3.05, 4 Tm 3.05
Pd (0.2500, 0.2500, 0.7500)  4 Ca 3.05, 4 Tm 3.05

**ΔE_f**: -0.7191 eV/atom
**Magnetization**: 0.00 μB per formula unit
**Crystal system**: cubic
**D(E_F)**: 0.518 states/eV/atom

---

First-principles (PBE) data for RbCuHF6 after structural relaxation, as listed in Alexandria via LeMat-Bulk.

a b c (Å): 4.7811 5.4636 5.5239
angles (deg): 87.80 66.72 84.61
With the nearest neighbours (Å) after each atom.
Space group P1 (No. 1)
One atom of each set of equivalent atoms:
Rb (0.0000, 0.0000, 0.0000)  9 F 2.91-3.11
Cu (0.4357, 0.4777, 0.4143)  5 F 1.79-1.89
H (0.7772, 0.5784, 0.6707)  1 F 1.01
F (0.0475, 0.4617, 0.6696)  1 H 1.38
F (0.3213, 0.7737, 0.3171)  1 Cu 1.79
F (0.3743, 0.2994, 0.1556)  1 Cu 1.89
F (0.5542, 0.1959, 0.5381)  1 Cu 1.79
F (0.5740, 0.6668, 0.6883)  1 H 1.01
F (0.8221, 0.5078, 0.1921)  1 Cu 1.79

**Magnetization**: 0.88 μB per formula unit
**Crystal system**: triclinic
**Energy**: -3.81 eV per atom

---

- Which value of magnetization does entry 3 give?
  0.00 μB per formula unit

---

- Number 3 is which compound?
  CaTmGePd

---

Repeat the third record exactly.
First-principles (PBE) data for CaTmGePd after structural relaxation, as listed in Alexandria via LeMat-Bulk.

a b c (Å): 7.0416 7.0416 7.0416
angles (deg): 90.00 90.00 90.00
With the nearest neighbours (Å) after each atom.
Space group F-43m (No. 216)
One atom of each set of equivalent atoms:
Ca (0.0000, 0.0000, 0.0000)  4 Pd 3.05, 4 Ge 3.05
Tm (0.0000, 0.0000, 0.5000)  4 Ge 3.05, 4 Pd 3.05
Ge (0.2500, 0.2500, 0.2500)  4 Ca 3.05, 4 Tm 3.05
Pd (0.2500, 0.2500, 0.7500)  4 Ca 3.05, 4 Tm 3.05

**ΔE_f**: -0.7191 eV/atom
**Magnetization**: 0.00 μB per formula unit
**Crystal system**: cubic
**D(E_F)**: 0.518 states/eV/atom